Si2TcSe | PBE-GGA | optimized geometry

Cell lengths 5.4294, 7.2671, 3.0235 Å; angles 90.00, 90.00, 90.00 degrees
Fractional coordinates of all 8 atoms:
Si: 0.2500 0.2500 0.0000
Si: 0.2500 0.7500 0.0000
Si: 0.7500 0.2500 0.0000
Si: 0.7500 0.7500 0.0000
Tc: 0.0000 0.0000 0.5000
Tc: 0.5000 0.5000 0.5000
Se: 0.0000 0.5000 0.5000
Se: 0.5000 0.0000 0.5000

Properties
energy relative to the elements, uncorrected	0.34	eV/atom
crystal system	orthorhombic